# K2SF4 (PBE, optimized geometry)
data_K2SF4
_cell_length_a 6.035
_cell_length_b 6.035
_cell_length_c 7.354
_cell_angle_alpha 90.00
_cell_angle_beta 90.00
_cell_angle_gamma 90.00
_space_group_name_H-M_alt 'I 4/m m m'
_space_group_IT_number 139
_space_group_name_Hall '-I 4 2'
loop_
_atom_site_label
_atom_site_type_symbol
_atom_site_fract_x
_atom_site_fract_y
_atom_site_fract_z
K1 K 0.000 0.500 0.250
S1 S 0.000 0.000 0.000
F1 F 0.226 0.226 0.000
# crystal system: tetragonal
# volume: 267.8 Å³/cell
# uncorrected formation energy: -2.07 eV per atom
# DFT total energy: -4.04 eV/atom
# DOS at the Fermi energy: 0.000 states/eV/atom

# KSF2 (PBE, optimized geometry)
data_KSF2
_cell_length_a 6.479
_cell_length_b 6.479
_cell_length_c 6.479
_cell_angle_alpha 90.00
_cell_angle_beta 90.00
_cell_angle_gamma 90.00
_space_group_name_H-M_alt 'F m -3 m'
_space_group_IT_number 225
_space_group_name_Hall '-F 4 2 3'
loop_
_atom_site_label
_atom_site_type_symbol
_atom_site_fract_x
_atom_site_fract_y
_atom_site_fract_z
K1 K 0.000 0.000 0.000
S1 S 0.000 0.000 0.500
F1 F 0.250 0.250 0.250
# crystal system: cubic
# volume: 272.0 Å³/cell
# uncorrected formation energy: -0.97 eV per atom
# offset from the most stable computed form: 561 meV per atom
# DFT total energy: -3.21 eV/atom
# DOS at the Fermi energy: 0.000 states/eV/atom

# K2SF (PBE, optimized geometry)
data_K2SF
_cell_length_a 3.317
_cell_length_b 3.317
_cell_length_c 7.717
_cell_angle_alpha 90.00
_cell_angle_beta 90.00
_cell_angle_gamma 90.00
_space_group_name_H-M_alt 'P 4/m m m'
_space_group_IT_number 123
_space_group_name_Hall '-P 4 2'
loop_
_atom_site_label
_atom_site_type_symbol
_atom_site_fract_x
_atom_site_fract_y
_atom_site_fract_z
K1 K 0.000 0.000 0.208
S1 S 0.500 0.500 0.500
F1 F 0.500 0.500 0.000
# crystal system: tetragonal
# volume: 84.9 Å³/cell
# uncorrected formation energy: -1.57 eV per atom
# offset from the most stable computed form: 0 meV per atom
# DFT total energy: -3.62 eV/atom
# DOS at the Fermi energy: 0.376 states/eV/atom

# KSF2 (PBE, optimized geometry)
data_KSF2
_cell_length_a 3.9927
_cell_length_b 3.9927
_cell_length_c 19.0016
_cell_angle_alpha 90.00
_cell_angle_beta 90.00
_cell_angle_gamma 120.00
_space_group_name_H-M_alt 'R -3 m'
_space_group_IT_number 166
_space_group_name_Hall '-R 3 2"'
loop_
_atom_site_label
_atom_site_type_symbol
_atom_site_fract_x
_atom_site_fract_y
_atom_site_fract_z
K1 K 0.0000 0.0000 0.0000
S1 S 0.0000 0.0000 0.5000
F1 F 0.0000 0.0000 0.4007
# crystal system: trigonal
# volume: 262.3 Å³/cell
# uncorrected formation energy: -1.53 eV per atom
# offset from the most stable computed form: 0 meV per atom
# DFT total energy: -3.78 eV/atom
# DOS at the Fermi energy: 0.274 states/eV/atom

# KSF2 (PBE, optimized geometry)
data_KSF2
_cell_length_a 3.8294
_cell_length_b 3.8294
_cell_length_c 17.9910
_cell_angle_alpha 90.00
_cell_angle_beta 90.00
_cell_angle_gamma 120.00
_space_group_name_H-M_alt 'R -3 m'
_space_group_IT_number 166
_space_group_name_Hall '-R 3 2"'
loop_
_atom_site_label
_atom_site_type_symbol
_atom_site_fract_x
_atom_site_fract_y
_atom_site_fract_z
K1 K 0.0000 0.0000 0.0000
S1 S 0.0000 0.0000 0.5000
F1 F 0.0000 0.0000 0.2507
# crystal system: trigonal
# volume: 228.5 Å³/cell
# uncorrected formation energy: -1.05 eV per atom
# offset from the most stable computed form: 484 meV per atom
# DFT total energy: -3.29 eV/atom
# DOS at the Fermi energy: 0.000 states/eV/atom

# K2SF6 (PBE, optimized geometry)
data_K2SF6
_cell_length_a 9.992
_cell_length_b 5.772
_cell_length_c 4.791
_cell_angle_alpha 90.00
_cell_angle_beta 90.08
_cell_angle_gamma 90.00
_space_group_name_H-M_alt 'C 1 2/m 1'
_space_group_IT_number 12
loop_
_space_group_symop_operation_xyz
'x,y,z'
'-x,-y,-z'
'-x,y,-z'
'x,-y,z'
'x+1/2,y+1/2,z'
'-x+1/2,-y+1/2,-z'
'-x+1/2,y+1/2,-z'
'x+1/2,-y+1/2,z'
loop_
_atom_site_label
_atom_site_type_symbol
_atom_site_fract_x
_atom_site_fract_y
_atom_site_fract_z
K1 K 0.167 0.000 0.284
S1 S 0.000 0.500 0.000
F1 F 0.078 0.266 0.782
F2 F 0.156 0.500 0.218
# crystal system: monoclinic
# volume: 276.3 Å³/cell
# uncorrected formation energy: -2.12 eV per atom
# offset from the most stable computed form: 7 meV per atom
# DFT total energy: -4.07 eV/atom
# DOS at the Fermi energy: 0.000 states/eV/atom

# K2SF6 (PBE, optimized geometry)
data_K2SF6
_cell_length_a 8.380
_cell_length_b 8.380
_cell_length_c 8.380
_cell_angle_alpha 90.00
_cell_angle_beta 90.00
_cell_angle_gamma 90.00
_space_group_name_H-M_alt 'F m -3 m'
_space_group_IT_number 225
_space_group_name_Hall '-F 4 2 3'
loop_
_atom_site_label
_atom_site_type_symbol
_atom_site_fract_x
_atom_site_fract_y
_atom_site_fract_z
K1 K 0.250 0.250 0.250
S1 S 0.000 0.000 0.000
F1 F 0.000 0.000 0.224
# crystal system: cubic
# volume: 588.4 Å³/cell
# uncorrected formation energy: -2.12 eV per atom
# offset from the most stable computed form: 0 meV per atom
# DFT total energy: -4.07 eV/atom
# DOS at the Fermi energy: 0.000 states/eV/atom

# KSF5 (PBE, optimized geometry)
data_KSF5
_cell_length_a 8.212
_cell_length_b 6.230
_cell_length_c 9.585
_cell_angle_alpha 90.00
_cell_angle_beta 107.18
_cell_angle_gamma 90.00
_space_group_name_H-M_alt 'C 1 c 1'
_space_group_IT_number 9
loop_
_space_group_symop_operation_xyz
'x,y,z'
'x,-y,z+1/2'
'x+1/2,y+1/2,z'
'x+1/2,-y+1/2,z+1/2'
loop_
_atom_site_label
_atom_site_type_symbol
_atom_site_fract_x
_atom_site_fract_y
_atom_site_fract_z
K1 K 0.000 0.042 0.000
S1 S 0.008 0.494 0.245
F1 F 0.074 0.227 0.295
F2 F 0.166 0.406 0.902
F3 F 0.330 0.111 0.606
F4 F 0.390 0.028 0.851
F5 F 0.424 0.260 0.208
# crystal system: monoclinic
# volume: 468.5 Å³/cell
# uncorrected formation energy: -2.01 eV per atom
# DFT total energy: -4.09 eV/atom
# DOS at the Fermi energy: 0.000 states/eV/atom

# KSF6 (PBE, optimized geometry)
data_KSF6
_cell_length_a 5.3639
_cell_length_b 5.3639
_cell_length_c 14.7711
_cell_angle_alpha 90.00
_cell_angle_beta 90.00
_cell_angle_gamma 120.00
_space_group_name_H-M_alt 'R -3 m'
_space_group_IT_number 166
_space_group_name_Hall '-R 3 2"'
loop_
_atom_site_label
_atom_site_type_symbol
_atom_site_fract_x
_atom_site_fract_y
_atom_site_fract_z
K1 K 0.0000 0.0000 0.0000
S1 S 0.0000 0.0000 0.5000
F1 F 0.0277 0.5139 0.0984
# crystal system: trigonal
# volume: 368.0 Å³/cell
# uncorrected formation energy: -1.86 eV per atom
# offset from the most stable computed form: 3 meV per atom
# DFT total energy: -3.92 eV/atom
# DOS at the Fermi energy: 0.339 states/eV/atom

# KSF (PBE, optimized geometry)
data_KSF
_cell_length_a 4.505
_cell_length_b 5.145
_cell_length_c 6.184
_cell_angle_alpha 82.30
_cell_angle_beta 77.14
_cell_angle_gamma 85.84
_space_group_name_H-M_alt 'P -1'
_space_group_IT_number 2
loop_
_space_group_symop_operation_xyz
'x,y,z'
'-x,-y,-z'
loop_
_atom_site_label
_atom_site_type_symbol
_atom_site_fract_x
_atom_site_fract_y
_atom_site_fract_z
K1 K 0.154 0.235 0.154
S1 S 0.499 0.334 0.596
F1 F 0.272 0.742 0.091
# crystal system: triclinic
# volume: 138.4 Å³/cell
# uncorrected formation energy: -1.51 eV per atom
# DFT total energy: -3.87 eV/atom
# DOS at the Fermi energy: 0.139 states/eV/atom

# K2SF (PBE, optimized geometry)
data_K2SF
_cell_length_a 3.9307
_cell_length_b 3.9307
_cell_length_c 22.8465
_cell_angle_alpha 90.00
_cell_angle_beta 90.00
_cell_angle_gamma 120.00
_space_group_name_H-M_alt 'R -3 m'
_space_group_IT_number 166
_space_group_name_Hall '-R 3 2"'
loop_
_atom_site_label
_atom_site_type_symbol
_atom_site_fract_x
_atom_site_fract_y
_atom_site_fract_z
K1 K 0.0000 0.0000 0.2342
S1 S 0.0000 0.0000 0.0000
F1 F 0.0000 0.0000 0.5000
# crystal system: trigonal
# volume: 305.7 Å³/cell
# uncorrected formation energy: -1.56 eV per atom
# offset from the most stable computed form: 11 meV per atom
# DFT total energy: -3.61 eV/atom
# DOS at the Fermi energy: 0.190 states/eV/atom

# KSF3 (PBE, optimized geometry)
data_KSF3
_cell_length_a 4.329
_cell_length_b 4.329
_cell_length_c 4.329
_cell_angle_alpha 90.00
_cell_angle_beta 90.00
_cell_angle_gamma 90.00
_space_group_name_H-M_alt 'P m -3 m'
_space_group_IT_number 221
_space_group_name_Hall '-P 4 2 3'
loop_
_atom_site_label
_atom_site_type_symbol
_atom_site_fract_x
_atom_site_fract_y
_atom_site_fract_z
K1 K 0.000 0.000 0.000
S1 S 0.500 0.500 0.500
F1 F 0.000 0.500 0.500
# crystal system: cubic
# volume: 81.1 Å³/cell
# uncorrected formation energy: -1.43 eV per atom
# offset from the most stable computed form: 0 meV per atom
# DFT total energy: -3.60 eV/atom
# DOS at the Fermi energy: 0.241 states/eV/atom

# K2SF (PBE, optimized geometry)
data_K2SF
_cell_length_a 7.360
_cell_length_b 7.360
_cell_length_c 7.360
_cell_angle_alpha 90.00
_cell_angle_beta 90.00
_cell_angle_gamma 90.00
_space_group_name_H-M_alt 'F m -3 m'
_space_group_IT_number 225
_space_group_name_Hall '-F 4 2 3'
loop_
_atom_site_label
_atom_site_type_symbol
_atom_site_fract_x
_atom_site_fract_y
_atom_site_fract_z
K1 K 0.250 0.250 0.250
S1 S 0.000 0.000 0.000
F1 F 0.000 0.000 0.500
# crystal system: cubic
# volume: 398.6 Å³/cell
# uncorrected formation energy: -1.32 eV per atom
# offset from the most stable computed form: 247 meV per atom
# DFT total energy: -3.37 eV/atom
# DOS at the Fermi energy: 2.424 states/eV/atom